Entry 1:
This record from the Alexandria database describes Tb6PrDy2Ho3 after structural relaxation. The functional is PBE-GGA.

Computed properties:
Formation enthalpy at 0 K in eV/atom: 0.02
Magnetization in Bohr magnetons per cell: 0.0
Density of states at the Fermi level in states/eV/cell: 15.19
E in eV/atom: -4.609

Unit cell a=6.1634 b=6.1634 c=11.8050 alpha=94.97 beta=94.97 gamma=119.96
Sites, in units of the cell vectors:
Tb 0.9152 0.5810 0.7477
Tb 0.7505 0.7505 0.2522
Tb 0.0848 0.4190 0.2523
Tb 0.5810 0.9152 0.7477
Tb 0.2495 0.2495 0.7478
Tb 0.4190 0.0848 0.2523
Pr 0.0000 0.0000 0.0000
Dy 0.3334 0.6666 0.0000
Dy 0.6666 0.3334 0.0000
Ho 0.1670 0.8330 0.5000
Ho 0.8330 0.1670 0.5000
Ho 0.5000 0.5000 0.5000



Entry 2:
This record from the Alexandria database describes NpMn2Fe after structural relaxation. The functional is PBE-GGA.

Computed properties:
Formation enthalpy at 0 K in eV/atom: 0.11
Magnetization in Bohr magnetons per cell: 4.3
Density of states at the Fermi level in states/eV/cell: 7.19
E in eV/atom: -9.828
Excess energy over the best structure of this formula in the dataset in kcal/mol of atoms: 0.00

Unit cell a=3.9100 b=3.8377 c=3.8377 alpha=90.00 beta=90.00 gamma=90.00
Site moments in Bohr magnetons follow the coordinates.
Sites, in units of the cell vectors:
Np 0.5000 0.5000 0.5000  -3.21
Mn 0.0000 0.0000 0.5000  2.67
Mn 0.0000 0.5000 0.0000  2.67
Fe 0.5000 0.0000 0.0000  2.10



Entry 3:
This record from the Alexandria database describes Tc5Mo after structural relaxation. The functional is PBE-GGA.

Computed properties:
Formation enthalpy at 0 K in eV/atom: 0.20
Magnetization in Bohr magnetons per cell: 0.0
Density of states at the Fermi level in states/eV/cell: 4.55
E in eV/atom: -10.239
Excess energy over the best structure of this formula in the dataset in kcal/mol of atoms: 3.33

Unit cell a=5.0665 b=5.0665 c=5.0665 alpha=60.00 beta=60.00 gamma=60.00
Sites, in units of the cell vectors:
Tc 0.6250 0.6250 0.1250
Tc 0.2500 0.2500 0.2500
Tc 0.6250 0.6250 0.6250
Tc 0.1250 0.6250 0.6250
Tc 0.6250 0.1250 0.6250
Mo 0.0000 0.0000 0.0000



Entry 4:
This record from the Alexandria database describes CrInSi2Ge after structural relaxation. The functional is PBE-GGA.

Computed properties:
Magnetization in Bohr magnetons per cell: 4.4
Density of states at the Fermi level in states/eV/cell: 3.43
Raw formation energy in eV per atom: 1.439
E in eV/atom: -4.126

Unit cell a=5.0748 b=5.1893 c=5.0748 alpha=90.00 beta=90.00 gamma=90.00
Site moments in Bohr magnetons follow the coordinates.
Sites, in units of the cell vectors:
Cr 0.5000 0.5000 0.5000  -4.10
Ge 0.0000 0.5000 0.0000  0.05
Si 0.0000 0.0000 0.5000  0.04
Si 0.5000 0.0000 0.0000  0.05
In 0.0000 0.0000 0.0000  -0.01



Repeat the second record exactly.
This record from the Alexandria database describes NpMn2Fe after structural relaxation. The functional is PBE-GGA.

Computed properties:
Formation enthalpy at 0 K in eV/atom: 0.11
Magnetization in Bohr magnetons per cell: 4.3
Density of states at the Fermi level in states/eV/cell: 7.19
E in eV/atom: -9.828
Excess energy over the best structure of this formula in the dataset in kcal/mol of atoms: 0.00

Unit cell a=3.9100 b=3.8377 c=3.8377 alpha=90.00 beta=90.00 gamma=90.00
Site moments in Bohr magnetons follow the coordinates.
Sites, in units of the cell vectors:
Np 0.5000 0.5000 0.5000  -3.21
Mn 0.0000 0.0000 0.5000  2.67
Mn 0.0000 0.5000 0.0000  2.67
Fe 0.5000 0.0000 0.0000  2.10